Computed, not measured: LaGa3PdPt after structural relaxation at the PBE level of DFT.

The structure in extended XYZ format:
```
12
Lattice="6.1093 0.0000 0.0000 0.0000 6.5369 0.0000 0.0000 -3.2684 6.1108" Properties=species:S:1:pos:R:3 pbc="T T T"
Pd 4.5820 0.0000 5.5930
Pt 1.5273 0.0000 1.6826
La 1.5273 3.2684 3.3275
Ga 0.0000 1.3092 0.0000
Ga 3.0547 5.2277 0.0000
Pd 1.5273 3.2684 0.5177
Ga 4.5820 3.2684 1.9692
Ga 3.0547 1.3092 0.0000
La 4.5820 0.0000 2.7833
Ga 1.5273 0.0000 4.1416
Pt 4.5820 3.2684 4.4282
Ga 0.0000 5.2277 0.0000
```

Calculated values
density = 8.840 g cm⁻³
energy of formation = -0.616 eV/atom
symmetry = Cmcm